# 1
Computed, not measured: a relaxed structure of CaNdRu2O8 at the PBE level of DFT.

Lattice parameters (Å, degrees): 5.9334 5.9334 6.9647 90.00 90.00 120.00
Each line ends with the local moment (μB).
Fractional positions:
Ca (0.0000, 0.0000, 0.0000)  0.01
Nd (0.0000, 0.0000, 0.5000)  0.02
Ru (0.6667, 0.3333, 0.1807)  0.82
Ru (0.3333, 0.6667, 0.8193)  0.82
O (0.3333, 0.6667, 0.0716)  0.21
O (0.3260, 0.1628, 0.2620)  0.10
O (0.8372, 0.1631, 0.2620)  0.10
O (0.6667, 0.3333, 0.9284)  0.21
O (0.1628, 0.8369, 0.7380)  0.10
O (0.6740, 0.8372, 0.7380)  0.10
O (0.1631, 0.3260, 0.7380)  0.10
O (0.8369, 0.6740, 0.2620)  0.10

Calculated values
**D(E_F)**: 0.48 states/eV/atom
**SG**: P-3m1

# 2
Computed, not measured: a relaxed structure of Ca2NdRuO6 at the PBE level of DFT.

Lattice parameters (Å, degrees): 5.9093 5.5981 9.8425 55.46 90.00 90.00
Each line ends with the local moment (μB).
Fractional positions:
Ca (0.2569, 0.9984, 0.5008)  0.01
Ca (0.7431, 0.9984, 0.0008)  0.01
Ca (0.3090, 0.2622, 0.7546)  0.01
Ca (0.6910, 0.2622, 0.2546)  0.01
Nd (0.1858, 0.7337, 0.2465)  0.03
Nd (0.8142, 0.7337, 0.7465)  0.03
Ru (0.7491, 0.5002, 0.4993)  1.98
Ru (0.2509, 0.5002, 0.9993)  1.98
O (0.4679, 0.4016, 0.4289)  0.11
O (0.5321, 0.4016, 0.9289)  0.11
O (0.0291, 0.6057, 0.5694)  0.11
O (0.9709, 0.6057, 0.0694)  0.11
O (0.6962, 0.1512, 0.7284)  0.10
O (0.3038, 0.1512, 0.2284)  0.10
O (0.8016, 0.8450, 0.2713)  0.11
O (0.1984, 0.8450, 0.7713)  0.11
O (0.9331, 0.2677, 0.4465)  0.13
O (0.0669, 0.2677, 0.9465)  0.13
O (0.5740, 0.7345, 0.5542)  0.13
O (0.4260, 0.7345, 0.0542)  0.13

Calculated values
**SG**: Pc

One value per record, in order, for formation energy from raw total energies: -1591, -2409 meV/atom.
One value per record, in order, for electronic total energy: -7.006, -7.189 eV per atom.